Arrangement P

4
Lattice="0.000 3.028 3.028 3.028 0.000 3.028 3.028 3.028 0.000" Properties=species:S:1:pos:R:3 comment="NaNiOs2 (PBE, relaxed)" crystal_system=cubic pbc="T T T"
Ni 3.028 3.028 3.028
Os 1.514 1.514 1.514
Os 4.541 4.541 4.541
Na 0.000 0.000 0.000

---

Arrangement Q

8
Lattice="-2.867 1.753 -1.554 -2.141 -2.958 0.612 -4.953 2.932 8.035" Properties=species:S:1:pos:R:3 comment="NaNiOs2 (PBE, relaxed)" crystal_system=tetragonal pbc="T T T"
Ni 0.000 0.000 0.000
Ni -5.162 2.041 3.005
Os -1.732 0.502 1.962
Os -4.500 0.061 1.349
Os -6.762 0.132 6.007
Os -6.928 2.760 4.868
Na -2.504 -0.602 -0.471
Na -4.799 -0.314 4.088

---

Least stable of them? arrangement P.

---

Arrangement P

10
Lattice="5.884 0.000 0.000 0.000 5.884 0.000 0.000 0.000 4.790" Properties=species:S:1:pos:R:3 comment="Na2NiP2 (PBE, relaxed)" crystal_system=tetragonal pbc="T T T"
Ni 0.000 0.000 0.000
Ni 2.942 2.942 0.000
Na 1.037 3.979 2.395
Na 3.979 4.848 2.395
Na 4.848 1.906 2.395
Na 1.906 1.037 2.395
P 2.135 5.077 0.000
P 5.077 3.749 0.000
P 3.749 0.807 0.000
P 0.807 2.135 0.000

---

Arrangement Q

10
Lattice="-0.990 4.403 3.745 -2.777 -4.428 -0.121 5.102 -2.440 4.217" Properties=species:S:1:pos:R:3 comment="Na2NiP2 (PBE, relaxed)" crystal_system=monoclinic pbc="T T T"
Na -0.631 0.630 2.511
Na -0.332 -3.000 2.265
Na 1.966 -3.095 5.331
Na 1.667 0.535 5.577
Ni 0.326 3.611 4.645
Ni 3.785 -1.648 3.318
P -0.210 -1.316 4.646
P -1.686 3.096 3.660
P 1.545 -1.149 3.196
P 3.021 -5.560 4.182

---

Least stable of them? arrangement Q.

---

Arrangement P

5
Lattice="4.519 0.000 0.000 0.000 4.519 0.000 0.000 0.000 4.519" Properties=species:S:1:pos:R:3 comment="NaNiP3 (PBE, relaxed)" crystal_system=cubic pbc="T T T"
Ni 0.000 0.000 0.000
Na 2.259 2.259 2.259
P 0.000 2.259 0.000
P 0.000 0.000 2.259
P 2.259 0.000 0.000

---

Arrangement Q

5
Lattice="-2.478 3.205 -2.432 0.757 -2.434 -3.979 -3.951 -2.477 0.763" Properties=species:S:1:pos:R:3 comment="NaNiP3 (PBE, relaxed)" crystal_system=cubic pbc="T T T"
Ni -2.836 -0.853 -2.824
Na 0.000 0.000 0.000
P 0.379 -1.217 -1.989
P -1.976 -1.238 0.382
P -1.239 1.602 -1.216

---

Least stable of them? arrangement Q.

---

Arrangement P

14
Lattice="-2.924 -2.421 -5.161 2.503 -5.066 -3.018 -3.791 -6.709 1.319" Properties=species:S:1:pos:R:3 comment="NaNi3P3 (PBE, relaxed)" crystal_system=trigonal pbc="T T T"
Na -0.141 -2.497 -2.725
Na -4.070 -11.699 -4.135
Ni -1.723 -9.266 -3.971
Ni -4.327 -6.699 -3.647
Ni -1.548 -6.807 -1.252
Ni -2.663 -7.389 -5.608
Ni 0.116 -7.497 -3.212
Ni -2.488 -4.930 -2.889
P -0.354 -5.462 -2.507
P -3.199 -5.329 -4.936
P -0.557 -7.957 -5.290
P -3.653 -6.239 -1.570
P -1.012 -8.867 -1.923
P -3.857 -8.734 -4.352

---

Arrangement Q

14
Lattice="6.195 0.000 0.000 0.000 6.195 0.000 0.000 0.000 6.195" Properties=species:S:1:pos:R:3 comment="NaNi3P3 (PBE, relaxed)" crystal_system=cubic pbc="T T T"
Ni 0.000 1.549 3.097
Ni 0.000 4.646 3.097
Ni 3.097 0.000 4.646
Ni 4.646 3.097 0.000
Ni 3.097 0.000 1.549
Ni 1.549 3.097 0.000
Na 3.097 3.097 3.097
Na 0.000 0.000 0.000
P 1.549 0.000 3.097
P 0.000 3.097 1.549
P 3.097 4.646 0.000
P 4.646 0.000 3.097
P 0.000 3.097 4.646
P 3.097 1.549 0.000

---

Least stable of them? arrangement Q.

---

Arrangement P

5
Lattice="4.244 0.000 0.000 0.000 4.244 0.000 0.000 0.000 4.244" Properties=species:S:1:pos:R:3 comment="NaNi3P (PBE, relaxed)" crystal_system=cubic pbc="T T T"
Ni 0.000 2.122 0.000
Ni 0.000 0.000 2.122
Ni 2.122 0.000 0.000
Na 2.122 2.122 2.122
P 0.000 0.000 0.000

---

Arrangement Q

5
Lattice="-3.678 -2.190 -0.345 0.860 -2.025 3.688 -2.044 3.090 2.173" Properties=species:S:1:pos:R:3 comment="NaNi3P (PBE, relaxed)" crystal_system=cubic pbc="T T T"
Ni 0.430 -1.013 1.844
Ni -1.022 1.545 1.087
Ni -1.839 -1.095 -0.172
Na 0.000 0.000 0.000
P -2.431 -0.563 2.758

---

Least stable of them? arrangement Q.

---

Arrangement P

5
Lattice="-4.769 0.417 -0.924 -0.170 -3.936 -0.900 -0.993 -1.024 4.662" Properties=species:S:1:pos:R:3 comment="NaNiPPd2 (PBE, relaxed)" crystal_system=tetragonal pbc="T T T"
Ni 0.000 0.000 0.000
Na -2.966 -2.272 1.419
Pd -0.497 -0.512 2.331
Pd -2.384 0.208 -0.462
P -0.085 -1.968 -0.450

---

Arrangement Q

5
Lattice="-2.774 2.333 2.816 1.578 -2.425 3.563 3.030 2.867 0.610" Properties=species:S:1:pos:R:3 comment="NaNiPPd2 (PBE, relaxed)" crystal_system=tetragonal pbc="T T T"
Ni 1.515 1.433 0.305
Na 0.917 1.387 3.494
Pd 0.789 -1.213 1.781
Pd -1.387 1.166 1.408
P 0.000 0.000 0.000

---

Least stable of them? arrangement P.

---

Arrangement P

5
Lattice="-2.021 -3.170 -3.685 4.805 -1.905 -0.997 -0.733 -3.747 3.625" Properties=species:S:1:pos:R:3 comment="Na3NiPb (PBE, relaxed)" crystal_system=cubic pbc="T T T"
Pb 1.026 -4.411 -0.529
Ni 0.000 0.000 0.000
Na 2.403 -0.952 -0.499
Na -0.366 -1.873 1.812
Na -1.011 -1.585 -1.843

---

Arrangement Q

5
Lattice="5.875 0.000 0.000 0.000 5.875 0.000 0.000 0.000 5.875" Properties=species:S:1:pos:R:3 comment="Na3NiPb (PBE, relaxed)" crystal_system=cubic pbc="T T T"
Pb 0.000 0.000 0.000
Ni 2.937 2.937 2.937
Na 0.000 2.937 0.000
Na 0.000 0.000 2.937
Na 2.937 0.000 0.000

---

Least stable of them? arrangement Q.

---

Arrangement P

4
Lattice="-4.160 -0.788 1.218 -1.558 1.706 3.751 -2.983 3.240 -0.125" Properties=species:S:1:pos:R:3 comment="NaNiPd2 (PBE, relaxed)" crystal_system=cubic pbc="T T T"
Ni -4.350 2.079 2.422
Pd -2.175 1.039 1.211
Pd -6.526 3.118 3.633
Na 0.000 0.000 0.000

---

Arrangement Q

8
Lattice="-1.020 -3.646 -0.886 3.142 -0.328 -2.266 5.802 -5.016 5.435" Properties=species:S:1:pos:R:3 comment="NaNiPd2 (PBE, relaxed)" crystal_system=tetragonal pbc="T T T"
Ni 0.000 0.000 0.000
Ni 2.922 -5.324 1.486
Pd 1.189 -3.635 0.507
Pd 3.304 -1.853 -0.154
Pd 5.094 -5.247 2.932
Pd 6.262 -7.245 1.279
Na 1.061 -1.987 -1.576
Na 5.002 -3.666 0.796

---

Least stable of them? arrangement Q.

---

Arrangement P

5
Lattice="-2.807 -2.502 2.745 3.585 -2.725 1.182 0.971 2.826 3.570" Properties=species:S:1:pos:R:3 comment="NaNiPd3 (PBE, relaxed)" crystal_system=cubic pbc="T T T"
Ni 0.000 0.000 0.000
Pd 1.792 -1.363 0.591
Pd 0.486 1.413 1.785
Pd -1.404 -1.251 1.372
Na 0.875 -1.200 3.748

---

Arrangement Q

5
Lattice="4.579 0.000 0.000 0.000 4.579 0.000 0.000 0.000 4.579" Properties=species:S:1:pos:R:3 comment="NaNiPd3 (PBE, relaxed)" crystal_system=cubic pbc="T T T"
Ni 2.289 2.289 2.289
Pd 0.000 2.289 0.000
Pd 0.000 0.000 2.289
Pd 2.289 0.000 0.000
Na 0.000 0.000 0.000

---

Least stable of them? arrangement Q.

---

Arrangement P

10
Lattice="-0.007 -6.183 4.260 2.949 -3.920 -5.684 2.468 0.596 0.869" Properties=species:S:1:pos:R:3 comment="NaNi2Pd2 (PBE, relaxed)" crystal_system=tetragonal pbc="T T T"
Ni 2.610 -5.860 -3.392
Ni 1.805 -7.885 0.284
Ni 0.332 -4.243 1.968
Ni 1.138 -2.218 -1.708
Pd 3.238 -3.481 -2.664
Pd 3.648 -7.121 -1.329
Pd 2.172 -6.026 2.109
Pd 1.763 -2.386 0.775
Na 0.000 0.000 0.000
Na 1.471 -5.051 -0.712

---

Arrangement Q

5
Lattice="4.105 0.000 0.000 0.000 4.105 0.000 2.052 2.052 5.030" Properties=species:S:1:pos:R:3 comment="NaNi2Pd2 (PBE, relaxed)" crystal_system=tetragonal pbc="T T T"
Ni 2.052 2.052 1.099
Ni 4.105 4.105 3.932
Pd 4.105 2.052 2.515
Pd 2.052 4.105 2.515
Na 0.000 0.000 0.000

---

Arrangement R

10
Lattice="-6.554 2.648 -2.662 -1.706 -6.871 -2.633 -1.186 -0.597 2.327" Properties=species:S:1:pos:R:3 comment="NaNi2Pd2 (PBE, relaxed)" crystal_system=tetragonal pbc="T T T"
Ni -2.785 -4.418 -1.011
Ni -6.362 -4.303 -2.806
Ni -6.661 -0.401 -1.957
Ni -3.084 -0.517 -0.163
Pd -3.880 -4.983 -3.257
Pd -6.760 -2.059 -3.975
Pd -4.380 0.760 -2.038
Pd -1.501 -2.164 -1.320
Na 0.000 0.000 0.000
Na -4.130 -2.111 -2.648

---

Least stable of them? arrangement Q.

---

Arrangement P

4
Lattice="3.520 0.000 0.000 0.000 3.520 0.000 0.000 0.000 9.558" Properties=species:S:1:pos:R:3 comment="NaPr2Ni (PBE, relaxed)" crystal_system=tetragonal pbc="T T T"
Pr 0.000 0.000 7.878
Pr 0.000 0.000 1.679
Ni 1.760 1.760 0.000
Na 1.760 1.760 4.779

---

Arrangement Q

4
Lattice="-1.174 -3.426 -1.569 1.462 -1.185 -3.469 8.009 -6.560 3.371" Properties=species:S:1:pos:R:3 comment="NaPr2Ni (PBE, relaxed)" crystal_system=trigonal pbc="T T T"
Pr 5.234 -4.799 1.600
Pr 3.063 -6.373 -3.267
Ni 4.149 -5.586 -0.833
Na 0.000 0.000 0.000

---

Least stable of them? arrangement Q.

---

Arrangement P

10
Lattice="-6.677 -1.430 -3.177 2.299 -6.969 -1.695 -0.927 -0.875 2.342" Properties=species:S:1:pos:R:3 comment="NaNi2Pt2 (PBE, relaxed)" crystal_system=tetragonal pbc="T T T"
Ni -0.526 -6.699 -2.713
Ni -4.475 -5.563 -3.851
Ni -3.851 -1.699 -2.160
Ni 0.098 -2.835 -1.021
Pt -0.091 -5.414 -0.542
Pt -3.097 -7.137 -2.376
Pt -5.213 -3.860 -1.988
Pt -2.207 -2.137 -0.155
Na 0.000 0.000 0.000
Na -2.189 -4.199 -2.436

---

Arrangement Q

5
Lattice="-1.002 -0.851 -3.985 4.074 -0.291 -0.962 1.439 -5.441 -1.409" Properties=species:S:1:pos:R:3 comment="NaNi2Pt2 (PBE, relaxed)" crystal_system=tetragonal pbc="T T T"
Ni 0.987 -3.431 -3.934
Ni 3.525 -3.152 -2.423
Pt 1.512 -1.787 -2.208
Pt 2.999 -4.796 -4.149
Na 0.000 0.000 0.000

---

Least stable of them? arrangement Q.